Compound: Dy2Tm7Sc
Source: the Alexandria database
Functional: PBE-GGA
Structure: relaxed

Lattice parameters (Å, degrees): 14.4095 14.4095 3.4281 90.00 90.00 154.60
Last column: nearest neighbours and their distance in Å.
Fractional coordinates of all 10 atoms:
1 Dy 0.2086 0.7914 0.0000  2 Dy 3.43, 8 Tm 3.46-3.67
2 Dy 0.7914 0.2086 0.0000  2 Dy 3.43, 8 Tm 3.46-3.67
3 Tm 0.0000 0.0000 0.0000  6 Tm 3.16-3.43
4 Tm 0.1587 0.3519 0.0000  7 Tm 3.10-3.43
5 Tm 0.3154 0.6846 0.5000  6 Tm 3.39-3.43, 6 Dy 3.46-3.67
6 Tm 0.3519 0.1587 0.0000  7 Tm 3.10-3.43
7 Tm 0.6481 0.8413 0.0000  7 Tm 3.10-3.43
8 Tm 0.6846 0.3154 0.5000  6 Tm 3.39-3.43, 6 Dy 3.46-3.67
9 Tm 0.8413 0.6481 0.0000  7 Tm 3.10-3.43
10 Sc 0.5000 0.5000 0.5000  2 Sc 3.43, 12 Tm 3.57-3.60

Total magnetization, μB per atom: 0.000
Total DFT energy (no corrections), Ry per atom: -0.3312
DOS(E_F), states/eV/f.u.: 13.27
Energy of formation from the pure elements, kcal/mol of atoms: 4.1